# 1
DyP3O9: single point on PBEsol structure, SCAN.

Values from the calculation:
- Energy above the most stable polymorph in this dataset: 0.0 meV per atom
- Volume: 187.7 Å³/f.u.
- Crystal system: monoclinic

abc: 6.997 9.717 11.045
angles: 90.00 91.80 90.00
Element x y z (fractional)
Dy 0.812 0.750 0.982
O 0.949 0.051 0.305
O 0.051 0.551 0.695
O 0.272 0.093 0.394
O 0.827 0.915 0.121
O 0.649 0.125 0.197
O 0.646 0.250 0.540
O 0.509 0.250 0.018
P 0.185 0.750 0.373
O 0.728 0.593 0.606
O 0.206 0.628 0.276
P 0.174 0.035 0.284
Dy 0.673 0.750 0.463
O 0.491 0.750 0.982
O 0.051 0.949 0.695
P 0.766 0.511 0.233
O 0.272 0.407 0.394
O 0.351 0.625 0.803
O 0.351 0.875 0.803
P 0.826 0.965 0.716
P 0.677 0.250 0.105
P 0.826 0.535 0.716
P 0.815 0.250 0.627
O 0.949 0.449 0.305
O 0.989 0.750 0.423
P 0.323 0.750 0.895
O 0.011 0.250 0.577
Dy 0.327 0.250 0.537
O 0.125 0.750 0.943
P 0.766 0.989 0.233
O 0.173 0.085 0.879
Dy 0.188 0.250 0.018
O 0.221 0.409 0.162
O 0.649 0.375 0.197
O 0.827 0.585 0.121
O 0.779 0.591 0.838
P 0.174 0.465 0.284
O 0.875 0.250 0.057
O 0.728 0.907 0.606
O 0.354 0.750 0.460
O 0.351 0.413 0.679
P 0.234 0.489 0.767
O 0.794 0.128 0.724
P 0.234 0.011 0.767
O 0.221 0.091 0.162
O 0.173 0.415 0.879
O 0.206 0.872 0.276
O 0.794 0.372 0.724
O 0.649 0.913 0.321
O 0.779 0.909 0.838
O 0.351 0.087 0.679
O 0.649 0.587 0.321

# 2
DyP5O14: single point on PBEsol structure, SCAN.

Values from the calculation:
- Energy above the most stable polymorph in this dataset: 2.1 meV per atom
- Volume: 248.9 Å³/f.u.
- Crystal system: orthorhombic

abc: 8.728 8.961 12.729
angles: 90.00 90.00 90.00
Element x y z (fractional)
O 0.612 0.820 0.493
P 0.990 0.702 0.917
O 0.112 0.680 0.493
O 0.475 0.062 0.153
O 0.475 0.062 0.347
O 0.025 0.562 0.847
O 0.007 0.153 0.137
O 0.460 0.171 0.750
P 0.758 0.226 0.931
O 0.343 0.661 0.119
O 0.960 0.329 0.750
O 0.167 0.345 0.470
O 0.328 0.399 0.872
O 0.525 0.938 0.653
P 0.242 0.774 0.069
P 0.742 0.726 0.431
O 0.270 0.944 0.750
O 0.343 0.661 0.381
O 0.230 0.444 0.250
O 0.612 0.820 0.007
O 0.993 0.847 0.863
P 0.490 0.798 0.583
O 0.657 0.339 0.881
O 0.540 0.829 0.250
O 0.657 0.339 0.619
O 0.507 0.347 0.137
P 0.427 0.009 0.750
O 0.833 0.655 0.970
O 0.667 0.155 0.470
O 0.730 0.056 0.250
O 0.007 0.153 0.363
O 0.975 0.438 0.153
P 0.258 0.274 0.569
P 0.258 0.274 0.931
O 0.828 0.101 0.628
O 0.328 0.399 0.628
O 0.388 0.180 0.507
O 0.333 0.845 0.970
O 0.507 0.347 0.363
P 0.010 0.298 0.083
P 0.927 0.491 0.750
O 0.833 0.655 0.530
P 0.742 0.726 0.069
O 0.667 0.155 0.030
O 0.975 0.438 0.347
P 0.073 0.509 0.250
O 0.025 0.562 0.653
P 0.242 0.774 0.431
Dy 0.520 0.443 0.750
P 0.490 0.798 0.917
O 0.993 0.847 0.637
Dy 0.980 0.943 0.250
Dy 0.020 0.057 0.750
O 0.388 0.180 0.993
O 0.040 0.671 0.250
O 0.333 0.845 0.530
O 0.172 0.899 0.128
P 0.758 0.226 0.569
O 0.112 0.680 0.007
O 0.828 0.101 0.872
P 0.010 0.298 0.417
O 0.525 0.938 0.847
O 0.770 0.556 0.750
P 0.510 0.202 0.083
P 0.573 0.991 0.250
O 0.157 0.161 0.619
Dy 0.480 0.557 0.250
O 0.843 0.839 0.119
O 0.888 0.320 0.507
O 0.672 0.601 0.128
P 0.510 0.202 0.417
O 0.167 0.345 0.030
O 0.172 0.899 0.372
O 0.157 0.161 0.881
O 0.493 0.653 0.863
O 0.493 0.653 0.637
P 0.990 0.702 0.583
O 0.843 0.839 0.381
O 0.888 0.320 0.993
O 0.672 0.601 0.372

# 3
DyP5O14: single point on PBEsol structure, SCAN.

Values from the calculation:
- Energy above the most stable polymorph in this dataset: 0.0 meV per atom
- Volume: 258.0 Å³/f.u.
- Crystal system: monoclinic

abc: 9.107 9.107 12.450
angles: 88.94 88.94 89.50
Element x y z (fractional)
O 0.425 0.352 0.887
O 0.721 0.024 0.232
O 0.800 0.895 0.820
Dy 0.033 0.967 0.750
O 0.641 0.514 0.411
O 0.017 0.496 0.137
O 0.711 0.104 0.944
O 0.895 0.800 0.320
P 0.182 0.521 0.105
O 0.965 0.153 0.867
O 0.504 0.983 0.363
O 0.778 0.609 0.973
P 0.429 0.924 0.740
P 0.521 0.182 0.605
O 0.651 0.851 0.993
O 0.530 0.982 0.837
Dy 0.967 0.033 0.250
O 0.105 0.200 0.680
O 0.718 0.461 0.805
O 0.539 0.282 0.695
O 0.826 0.344 0.976
P 0.386 0.323 0.000
O 0.514 0.641 0.911
Dy 0.520 0.480 0.250
O 0.174 0.656 0.024
P 0.173 0.874 0.467
O 0.282 0.539 0.195
O 0.983 0.504 0.863
O 0.656 0.174 0.524
P 0.048 0.318 0.610
O 0.896 0.289 0.556
O 0.077 0.875 0.926
O 0.352 0.425 0.387
O 0.609 0.778 0.473
O 0.976 0.279 0.268
P 0.952 0.682 0.390
O 0.875 0.077 0.426
O 0.018 0.470 0.663
P 0.924 0.429 0.240
O 0.289 0.896 0.056
P 0.571 0.076 0.260
O 0.923 0.125 0.074
O 0.391 0.222 0.527
O 0.149 0.349 0.507
P 0.614 0.677 0.000
O 0.232 0.539 0.784
O 0.982 0.530 0.337
O 0.496 0.017 0.637
O 0.539 0.232 0.284
O 0.470 0.018 0.163
O 0.847 0.035 0.633
O 0.349 0.149 0.007
P 0.323 0.386 0.500
P 0.076 0.571 0.760
O 0.461 0.768 0.716
O 0.153 0.965 0.367
P 0.126 0.827 0.033
O 0.104 0.711 0.444
O 0.024 0.721 0.732
O 0.648 0.575 0.613
P 0.677 0.614 0.500
Dy 0.480 0.520 0.750
P 0.479 0.818 0.395
P 0.827 0.126 0.533
P 0.682 0.952 0.890
O 0.461 0.718 0.305
O 0.486 0.359 0.089
O 0.035 0.847 0.133
O 0.200 0.105 0.180
O 0.125 0.923 0.574
O 0.359 0.486 0.589
O 0.575 0.648 0.113
O 0.851 0.651 0.493
O 0.344 0.826 0.476
O 0.768 0.461 0.216
O 0.222 0.391 0.027
P 0.874 0.173 0.967
P 0.818 0.479 0.895
P 0.318 0.048 0.110
O 0.279 0.976 0.768

# 4
DyZnPO: single point on PBEsol structure, SCAN.

Values from the calculation:
- Volume: 63.9 Å³/f.u.
- Crystal system: trigonal

abc: 3.846 3.846 10.226
angles: 79.16 79.16 60.00
Element x y z (fractional)
Dy 0.620 0.620 0.140
P 0.112 0.112 0.665
P 0.888 0.888 0.335
Zn 0.804 0.804 0.588
Dy 0.380 0.380 0.860
O 0.305 0.305 0.084
Zn 0.196 0.196 0.412
O 0.695 0.695 0.916

# 5
DyPaO4: single point on PBEsol structure, SCAN.

Values from the calculation:
- Volume: 75.6 Å³/f.u.
- Crystal system: tetragonal

abc: 3.766 3.766 5.327
angles: 90.00 90.00 90.00
Element x y z (fractional)
Dy 0.000 0.000 0.000
Pa 0.500 0.500 0.500
O 0.000 0.500 0.259
O 0.500 0.000 0.259
O 0.000 0.500 0.741
O 0.500 0.000 0.741

# 6
Dy2Pt2O7: single point on PBEsol structure, SCAN.

Values from the calculation:
- Volume: 130.3 Å³/f.u.
- Crystal system: cubic

abc: 7.170 7.170 7.170
angles: 60.00 60.00 60.00
Element x y z (fractional)
O 0.466 0.034 0.034
O 0.784 0.216 0.784
Dy 0.625 0.125 0.625
Pt 0.125 0.625 0.125
Pt 0.625 0.125 0.125
O 0.034 0.034 0.466
O 0.466 0.466 0.034
O 0.750 0.750 0.750
O 0.034 0.466 0.466
O 0.216 0.784 0.784
O 0.216 0.216 0.784
O 0.500 0.500 0.500
O 0.034 0.466 0.034
Dy 0.125 0.625 0.625
O 0.784 0.216 0.216
O 0.216 0.784 0.216
O 0.784 0.784 0.216
Dy 0.625 0.625 0.125
Pt 0.125 0.125 0.625
Dy 0.625 0.625 0.625
Pt 0.125 0.125 0.125
O 0.466 0.034 0.466

# 7
Rb3DyO3: single point on PBEsol structure, SCAN.

Values from the calculation:
- Energy above the most stable polymorph in this dataset: 0.0 meV per atom
- Volume: 163.6 Å³/f.u.
- Crystal system: monoclinic

abc: 7.285 7.701 11.685
angles: 93.34 90.00 90.00
Element x y z (fractional)
Dy 0.592 0.161 0.571
Rb 0.626 0.924 0.839
Dy 0.908 0.161 0.071
O 0.549 0.882 0.593
Dy 0.092 0.839 0.929
O 0.445 0.302 0.698
Rb 0.696 0.379 0.311
O 0.951 0.882 0.093
Rb 0.874 0.924 0.339
O 0.945 0.698 0.802
O 0.140 0.740 0.447
O 0.360 0.740 0.947
O 0.555 0.698 0.302
Rb 0.304 0.621 0.689
O 0.049 0.118 0.907
Rb 0.196 0.621 0.189
O 0.860 0.260 0.553
O 0.451 0.118 0.407
Dy 0.408 0.839 0.429
O 0.055 0.302 0.198
Rb 0.840 0.644 0.579
Rb 0.374 0.076 0.161
Rb 0.160 0.356 0.421
Rb 0.340 0.356 0.921
Rb 0.804 0.379 0.811
Rb 0.126 0.076 0.661
Rb 0.660 0.644 0.079
O 0.640 0.260 0.053

# 8
Rb3DyO3: single point on PBEsol structure, SCAN.

Values from the calculation:
- Energy above the most stable polymorph in this dataset: 12.1 meV per atom
- Volume: 164.1 Å³/f.u.
- Crystal system: monoclinic

abc: 7.151 7.199 7.199
angles: 116.28 94.73 94.73
Element x y z (fractional)
Dy 0.148 0.181 0.181
O 0.268 0.171 0.453
O 0.159 0.899 0.899
Rb 0.000 0.257 0.743
O 0.268 0.453 0.171
O 0.841 0.101 0.101
Rb 0.638 0.360 0.360
Rb 0.000 0.743 0.257
Rb 0.500 0.794 0.206
Rb 0.500 0.206 0.794
Rb 0.362 0.640 0.640
O 0.732 0.547 0.829
O 0.732 0.829 0.547
Dy 0.852 0.819 0.819

# 9
RbDyS2O8: single point on PBEsol structure, SCAN.

Values from the calculation:
- Volume: 163.3 Å³/f.u.
- Crystal system: orthorhombic

abc: 5.286 9.417 13.123
angles: 90.00 90.00 90.00
Element x y z (fractional)
O 0.283 0.566 0.388
S 0.735 0.586 0.584
O 0.485 0.653 0.601
O 0.717 0.434 0.612
Dy 0.329 0.750 0.000
S 0.235 0.086 0.916
O 0.813 0.602 0.475
O 0.485 0.847 0.399
O 0.515 0.347 0.399
Rb 0.750 0.577 0.250
O 0.436 0.342 0.145
O 0.064 0.158 0.645
O 0.564 0.842 0.145
O 0.783 0.434 0.888
O 0.015 0.847 0.101
O 0.717 0.066 0.388
O 0.064 0.342 0.355
O 0.985 0.153 0.899
O 0.985 0.347 0.101
Dy 0.171 0.750 0.500
O 0.187 0.398 0.525
O 0.313 0.398 0.975
O 0.436 0.158 0.855
S 0.765 0.586 0.916
O 0.687 0.898 0.975
O 0.783 0.066 0.112
Rb 0.250 0.077 0.250
O 0.283 0.934 0.612
Rb 0.750 0.923 0.750
O 0.217 0.934 0.888
O 0.813 0.898 0.525
O 0.313 0.102 0.025
S 0.265 0.414 0.416
O 0.015 0.653 0.899
O 0.936 0.842 0.355
S 0.765 0.914 0.084
S 0.735 0.914 0.416
O 0.687 0.602 0.025
O 0.936 0.658 0.645
O 0.217 0.566 0.112
Dy 0.671 0.250 0.000
O 0.515 0.153 0.601
Rb 0.250 0.423 0.750
S 0.235 0.414 0.084
S 0.265 0.086 0.584
O 0.564 0.658 0.855
O 0.187 0.102 0.475
Dy 0.829 0.250 0.500

| no. | total DFT energy (no corrections) (Ry per atom) | raw formation energy (kJ/mol of formula units) |
| --- | --- | --- |
| 1 | -0.96944 | -3512 |
| 2 | -0.87915 | -5037 |
| 3 | -0.87931 | -5041 |
| 4 | -1.58554 | -805 |
| 5 | -2.40782 | -2332 |
| 6 | -2.03779 | -2449 |
| 7 | -1.50857 | -1444 |
| 8 | -1.50768 | -1436 |
| 9 | -1.01722 | -2744 |